First-principles (PBE with a Hubbard U) data for CdWF6 after structural relaxation, as listed in the Alexandria database.

a = 5.089 Å, b = 5.089 Å, c = 5.478 Å
α = 96.21°, β = 96.21°, γ = 114.41°
Fractional coordinates of all 8 atoms:
Cd  0.000  0.000  0.000
W  0.500  0.500  0.500
F  0.255  0.255  0.723
F  0.431  0.132  0.264
F  0.745  0.745  0.277
F  0.868  0.569  0.736
F  0.569  0.868  0.736
F  0.132  0.431  0.264

Calculated values
- calculated total energy (eV for the cell shown) = -39.3